The following is a GGA-PBE calculation of Tb3TmBi4 after structural relaxation, from Alexandria.

Unit cell a=6.3248 b=6.3248 c=6.3248 alpha=90.00 beta=90.00 gamma=90.00
Atoms (fractional coordinates):
Tb (0.0000, 0.5000, 0.5000)
Tb (0.5000, 0.5000, 0.0000)
Tb (0.5000, 0.0000, 0.5000)
Bi (0.5000, 0.5000, 0.5000)
Bi (0.0000, 0.0000, 0.5000)
Bi (0.5000, 0.0000, 0.0000)
Bi (0.0000, 0.5000, 0.0000)
Tm (0.0000, 0.0000, 0.0000)

Values from the calculation:
- total moment (μB per formula unit) = 0.00
- SG = Pm-3m, No. 221
- calculated formation energy (kcal/mol of atoms) = -19.808

=====

The following is a GGA-PBE calculation of Sc2NbRu after structural relaxation, from Alexandria.

Unit cell a=4.7237 b=4.7237 c=4.7237 alpha=60.00 beta=60.00 gamma=60.00
Site moments in Bohr magnetons follow the coordinates.
Atoms (fractional coordinates):
Ru (0.5000, 0.5000, 0.5000)  0.08
Sc (0.2500, 0.2500, 0.2500)  0.29
Sc (0.7500, 0.7500, 0.7500)  0.29
Nb (0.0000, 0.0000, 0.0000)  1.68

Values from the calculation:
- total moment (μB per formula unit) = 2.86
- SG = Fm-3m, No. 225
- calculated formation energy (kcal/mol of atoms) = 0.063

=====

The following is a GGA-PBE calculation of BaTc2 after structural relaxation, from Alexandria.

Unit cell a=7.5116 b=7.5116 c=7.5116 alpha=142.97 beta=142.97 gamma=53.36
Atoms (fractional coordinates):
Ba (0.7500, 0.2500, 0.5000)
Ba (0.0000, 0.0000, 0.0000)
Tc (0.3355, 0.8355, 0.5000)
Tc (0.1645, 0.6645, 0.5000)
Tc (0.5855, 0.5855, 0.0000)
Tc (0.4145, 0.4145, 0.0000)

Values from the calculation:
- total moment (μB per formula unit) = 0.00
- SG = I4_1/amd, No. 141
- calculated formation energy (kcal/mol of atoms) = 18.782

=====

Q: Which formula does entry 2 have?
A: Sc2NbRu

=====

Q: Which value of calculated formation energy does entry 1 give?
A: -19.808 kcal/mol of atoms

=====

Q: total moment of number 2 (Sc2NbRu)?
A: 2.86 μB per formula unit